Record 1
The following is a GGA-PBE calculation of a relaxed structure of Ho4SnPbC, from Alexandria.

abc: 6.7727 15.9438 6.7683
angles: 90.00 90.00 90.00
Space group Cmcm (No. 63)
Asymmetric unit:
Ho1 0.0000 0.0912 0.2500
Ho2 0.0000 0.4071 0.2500
Ho3 0.2500 0.2500 0.0000
Sn1 0.0000 0.1097 0.7500
Pb1 0.0000 0.3928 0.7500
C1 0.0000 0.2497 0.2500

DFT formation energy in eV per atom: -0.61



Record 2
The following is a GGA-PBE calculation of a relaxed structure of PmYAlCd, from Alexandria.

abc: 3.6770 3.6770 7.6433
angles: 90.00 90.00 90.00
Space group P4mm (No. 99)
Asymmetric unit:
Pm1 0.0000 0.0000 0.0000
Y1 0.0000 0.0000 0.4777
Al1 0.5000 0.5000 0.2468
Cd1 0.5000 0.5000 0.7260

Polymorph energy (0 for the lowest one) in meV/atom: 0.0
DFT formation energy in eV per atom: -0.37



Record 3
The following is a GGA-PBE calculation of a relaxed structure of PrPaCN, from Alexandria.

abc: 3.6506 3.6506 17.8820
angles: 90.00 90.00 120.00
Space group R3m (No. 160, hexagonal axes)
Asymmetric unit:
Pr1 0.0000 0.0000 0.0000
Pa1 0.0000 0.0000 0.4995
C1 0.0000 0.0000 0.2366
N1 0.0000 0.0000 0.7657

Uncorrected formation energy in meV/atom: -925.4



Record 4
The following is a GGA-PBE calculation of a relaxed structure of Sr2ZrZn, from Alexandria.

abc: 3.6527 3.6527 9.7082
angles: 90.00 90.00 90.00
Space group P4mm (No. 99)
Asymmetric unit:
Sr1 0.0000 0.0000 0.0000
Sr2 0.5000 0.5000 0.3675
Zr1 0.5000 0.5000 0.7260
Zn1 0.0000 0.0000 0.5986

DFT formation energy in eV per atom: 0.11